[1]
! Dy4Cu5Ni2, relaxed, DFT PBE; values from VASP
&SYSTEM
  ibrav = 0, nat = 11, ntyp = 3
/
ATOMIC_SPECIES
Dy 162.50 Dy.upf
Cu 63.55 Cu.upf
Ni 58.69 Ni.upf
ATOMIC_POSITIONS crystal
Dy 0.2235 0.0000 0.3580
Dy 0.2453 0.0000 0.8859
Dy 0.7547 0.0000 0.1141
Dy 0.7765 0.0000 0.6420
Cu 0.1370 0.5000 0.6163
Cu 0.4332 0.5000 0.1505
Cu 0.5000 0.5000 0.5000
Cu 0.5668 0.5000 0.8495
Cu 0.8630 0.5000 0.3837
Ni 0.0748 0.5000 0.1343
Ni 0.9252 0.5000 0.8657
CELL_PARAMETERS angstrom
6.8127 0.0000 0.0000
0.0000 3.8934 0.0000
-0.0386 0.0000 7.7412
! * symmetry: P2/m (10)
! * VASP energy: -53.4 eV/cell

***

[2]
! Dy3Cu4Ni2, relaxed, DFT PBE; values from VASP
&SYSTEM
  ibrav = 0, nat = 9, ntyp = 3
/
ATOMIC_SPECIES
Dy 162.50 Dy.upf
Cu 63.55 Cu.upf
Ni 58.69 Ni.upf
ATOMIC_POSITIONS crystal
Dy 0.0000 0.0000 0.0000
Dy 0.3252 0.3252 0.3426
Dy 0.6748 0.6748 0.6574
Cu 0.0451 0.0451 0.3808
Cu 0.2794 0.2794 0.9412
Cu 0.7206 0.7206 0.0588
Cu 0.9549 0.9549 0.6192
Ni 0.3947 0.3947 0.7292
Ni 0.6053 0.6053 0.2708
CELL_PARAMETERS angstrom
5.1541 -2.0423 0.0000
5.1541 2.0423 0.0000
-2.8398 0.0000 7.6541
! * symmetry: C2/m (12)
! * VASP energy: -44.5 eV/cell

***

[3]
! DyCu2Ni4, relaxed, DFT PBE; values from VASP
&SYSTEM
  ibrav = 0, nat = 7, ntyp = 3
/
ATOMIC_SPECIES
Dy 162.50 Dy.upf
Cu 63.55 Cu.upf
Ni 58.69 Ni.upf
ATOMIC_POSITIONS crystal
Dy 0.0000 0.0000 0.0000
Cu 0.2500 0.7500 0.5000
Cu 0.7500 0.2500 0.5000
Ni 0.2776 0.5000 0.7776
Ni 0.5000 0.2776 0.7776
Ni 0.5000 0.7224 0.2224
Ni 0.7224 0.5000 0.2224
CELL_PARAMETERS angstrom
-3.5019 3.5019 2.4845
3.5019 -3.5019 2.4845
3.5019 3.5019 -2.4845
! * distance to the lowest polymorph of the same formula: 578 meV/atom
! * symmetry: I4/mmm (139)

***

[4]
! Dy2Cu9Ni6, relaxed, DFT PBE; values from VASP
&SYSTEM
  ibrav = 0, nat = 17, ntyp = 3
/
ATOMIC_SPECIES
Dy 162.50 Dy.upf
Cu 63.55 Cu.upf
Ni 58.69 Ni.upf
ATOMIC_POSITIONS crystal
Dy 0.0000 0.0000 0.1739
Dy 0.0000 0.0000 0.8261
Cu 0.0000 0.5000 0.0000
Cu 0.0000 0.5000 0.3354
Cu 0.0000 0.5000 0.6646
Cu 0.5000 0.0000 0.0000
Cu 0.5000 0.0000 0.3354
Cu 0.5000 0.0000 0.6646
Cu 0.5000 0.5000 0.0000
Cu 0.5000 0.5000 0.3354
Cu 0.5000 0.5000 0.6646
Ni 0.3333 0.6667 0.1676
Ni 0.3333 0.6667 0.5000
Ni 0.3333 0.6667 0.8324
Ni 0.6667 0.3333 0.1676
Ni 0.6667 0.3333 0.5000
Ni 0.6667 0.3333 0.8324
CELL_PARAMETERS angstrom
4.8926 0.0000 0.0000
-2.4463 4.2371 0.0000
0.0000 0.0000 12.1321
! * symmetry: P6/mmm (191)
! * VASP energy: -81.3 eV/cell

***

[5]
! DyCu4Ni2, relaxed, DFT PBE; values from VASP
&SYSTEM
  ibrav = 0, nat = 7, ntyp = 3
/
ATOMIC_SPECIES
Dy 162.50 Dy.upf
Cu 63.55 Cu.upf
Ni 58.69 Ni.upf
ATOMIC_POSITIONS crystal
Dy 0.0000 0.0000 0.0000
Cu 0.2715 0.5000 0.7715
Cu 0.5000 0.2715 0.7715
Cu 0.5000 0.7285 0.2285
Cu 0.7285 0.5000 0.2285
Ni 0.2500 0.7500 0.5000
Ni 0.7500 0.2500 0.5000
CELL_PARAMETERS angstrom
-3.5507 3.5507 2.4861
3.5507 -3.5507 2.4861
3.5507 3.5507 -2.4861
! * distance to the lowest polymorph of the same formula: 589 meV/atom
! * symmetry: I4/mmm (139)

***

[6]
! DyCu7Ni5, relaxed, DFT PBE; values from VASP
&SYSTEM
  ibrav = 0, nat = 13, ntyp = 3
/
ATOMIC_SPECIES
Dy 162.50 Dy.upf
Cu 63.55 Cu.upf
Ni 58.69 Ni.upf
ATOMIC_POSITIONS crystal
Dy 0.0000 0.0000 0.0000
Cu 0.2253 0.5044 0.7208
Cu 0.2272 0.7272 0.5000
Cu 0.3534 0.3534 0.0000
Cu 0.3579 0.0057 0.3522
Cu 0.6524 0.6524 0.0000
Cu 0.6535 0.0057 0.6478
Cu 0.7836 0.5044 0.2792
Ni 0.0028 0.0046 0.4977
Ni 0.0028 0.5051 0.9983
Ni 0.5069 0.0046 0.0017
Ni 0.5069 0.5051 0.5023
Ni 0.7830 0.2830 0.5000
CELL_PARAMETERS angstrom
-2.4007 4.1578 4.1585
2.4007 -4.1578 4.1585
2.4007 4.1578 -4.1585
! * symmetry: Imm2 (44)
! * VASP energy: -63.8 eV/cell

***

[7]
! DyCu2Ni6, relaxed, DFT PBE; values from VASP
&SYSTEM
  ibrav = 0, nat = 18, ntyp = 3
/
ATOMIC_SPECIES
Dy 162.50 Dy.upf
Cu 63.55 Cu.upf
Ni 58.69 Ni.upf
ATOMIC_POSITIONS crystal
Dy 0.1250 0.1250 0.1250
Dy 0.8750 0.8750 0.8750
Cu 0.0000 0.5000 0.5000
Cu 0.5000 0.0000 0.5000
Cu 0.5000 0.5000 0.0000
Cu 0.5000 0.5000 0.5000
Ni 0.1187 0.1187 0.6313
Ni 0.1187 0.6313 0.1187
Ni 0.1187 0.6313 0.6313
Ni 0.3687 0.3687 0.8813
Ni 0.3687 0.8813 0.3687
Ni 0.3687 0.8813 0.8813
Ni 0.6313 0.1187 0.1187
Ni 0.6313 0.1187 0.6313
Ni 0.6313 0.6313 0.1187
Ni 0.8813 0.3687 0.3687
Ni 0.8813 0.3687 0.8813
Ni 0.8813 0.8813 0.3687
CELL_PARAMETERS angstrom
0.0000 5.2007 5.2007
5.2007 0.0000 5.2007
5.2007 5.2007 0.0000
! * symmetry: Fd-3m (227)
! * VASP energy: -85.1 eV/cell

***

[8]
! Dy4Cu2Ni, relaxed, DFT PBE; values from VASP
&SYSTEM
  ibrav = 0, nat = 7, ntyp = 3
/
ATOMIC_SPECIES
Dy 162.50 Dy.upf
Cu 63.55 Cu.upf
Ni 58.69 Ni.upf
ATOMIC_POSITIONS crystal
Dy 0.1237 0.1237 0.1237
Dy 0.3741 0.3741 0.3741
Dy 0.6259 0.6259 0.6259
Dy 0.8763 0.8763 0.8763
Cu 0.2493 0.2493 0.2493
Cu 0.7507 0.7507 0.7507
Ni 0.0000 0.0000 0.0000
CELL_PARAMETERS angstrom
2.4218 1.3983 7.8961
-2.4218 1.3983 7.8961
0.0000 -2.7965 7.8961
! * symmetry: R-3m (166)
! * VASP energy: -33.6 eV/cell

***

[9]
! Dy3CuNi3, relaxed, DFT PBE; values from VASP
&SYSTEM
  ibrav = 0, nat = 14, ntyp = 3
/
ATOMIC_SPECIES
Dy 162.50 Dy.upf
Cu 63.55 Cu.upf
Ni 58.69 Ni.upf
ATOMIC_POSITIONS crystal
Dy 0.0152 0.9848 0.7500
Dy 0.2969 0.7031 0.6027
Dy 0.2969 0.7031 0.8973
Dy 0.7031 0.2969 0.1027
Dy 0.7031 0.2969 0.3973
Dy 0.9848 0.0152 0.2500
Cu 0.0000 0.0000 0.0000
Cu 0.0000 0.0000 0.5000
Ni 0.2776 0.7224 0.2500
Ni 0.4164 0.5836 0.0913
Ni 0.4164 0.5836 0.4087
Ni 0.5836 0.4164 0.5913
Ni 0.5836 0.4164 0.9087
Ni 0.7224 0.2776 0.7500
CELL_PARAMETERS angstrom
2.0320 -4.8984 0.0000
2.0320 4.8984 0.0000
0.0000 0.0000 13.0538
! * distance to the lowest polymorph of the same formula: 0 meV/atom
! * symmetry: Cmcm (63)

***

[10]
! Dy2CuNi7, relaxed, DFT PBE; values from VASP
&SYSTEM
  ibrav = 0, nat = 10, ntyp = 3
/
ATOMIC_SPECIES
Dy 162.50 Dy.upf
Cu 63.55 Cu.upf
Ni 58.69 Ni.upf
ATOMIC_POSITIONS crystal
Dy 0.0000 0.5000 0.2452
Dy 0.5000 0.0000 0.7548
Cu 0.0000 0.0000 0.5000
Ni 0.0000 0.0000 0.0000
Ni 0.0000 0.5000 0.6425
Ni 0.0000 0.5000 0.8619
Ni 0.5000 0.0000 0.1381
Ni 0.5000 0.0000 0.3575
Ni 0.5000 0.5000 0.0000
Ni 0.5000 0.5000 0.5000
CELL_PARAMETERS angstrom
3.7860 0.0000 0.0000
0.0000 3.7860 0.0000
0.0000 0.0000 10.2677
! * symmetry: P-4m2 (115)
! * VASP energy: -55.7 eV/cell

***

[11]
! Dy8Cu2Ni, relaxed, DFT PBE; values from VASP
&SYSTEM
  ibrav = 0, nat = 11, ntyp = 3
/
ATOMIC_SPECIES
Dy 162.50 Dy.upf
Cu 63.55 Cu.upf
Ni 58.69 Ni.upf
ATOMIC_POSITIONS crystal
Dy 0.0320 0.0320 0.2874
Dy 0.2014 0.2014 0.8283
Dy 0.3356 0.3356 0.5240
Dy 0.4104 0.4104 0.0566
Dy 0.5896 0.5896 0.9434
Dy 0.6644 0.6644 0.4760
Dy 0.7986 0.7986 0.1717
Dy 0.9680 0.9680 0.7126
Cu 0.1873 0.1873 0.2321
Cu 0.8127 0.8127 0.7679
Ni 0.5000 0.5000 0.5000
CELL_PARAMETERS angstrom
8.5942 -2.5275 0.0000
8.5942 2.5275 0.0000
-1.7335 0.0000 6.4031
! * distance to the lowest polymorph of the same formula: 0 meV/atom
! * symmetry: C2/m (12)

***

[12]
! Dy3Cu2Ni, relaxed, DFT PBE; values from VASP
&SYSTEM
  ibrav = 0, nat = 24, ntyp = 3
/
ATOMIC_SPECIES
Dy 162.50 Dy.upf
Cu 63.55 Cu.upf
Ni 58.69 Ni.upf
ATOMIC_POSITIONS crystal
Dy 0.0519 0.2500 0.1249
Dy 0.1119 0.7500 0.5618
Dy 0.2260 0.2500 0.7981
Dy 0.2740 0.7500 0.2981
Dy 0.3881 0.2500 0.0618
Dy 0.4481 0.7500 0.6249
Dy 0.5519 0.2500 0.3751
Dy 0.6119 0.7500 0.9382
Dy 0.7260 0.2500 0.7019
Dy 0.7740 0.7500 0.2019
Dy 0.8881 0.2500 0.4382
Dy 0.9481 0.7500 0.8751
Cu 0.0169 0.7500 0.3072
Cu 0.1990 0.7500 0.0066
Cu 0.3010 0.2500 0.5066
Cu 0.4831 0.2500 0.8072
Cu 0.5169 0.7500 0.1928
Cu 0.6990 0.7500 0.4934
Cu 0.8010 0.2500 0.9934
Cu 0.9831 0.2500 0.6928
Ni 0.1250 0.2500 0.3729
Ni 0.3750 0.7500 0.8729
Ni 0.6250 0.2500 0.1271
Ni 0.8750 0.7500 0.6271
CELL_PARAMETERS angstrom
11.3260 0.0000 0.0000
0.0000 4.2817 0.0000
0.0000 0.0000 10.5974
! * distance to the lowest polymorph of the same formula: 17 meV/atom
! * symmetry: Pnma (62)

***

[13]
! Dy2Cu6Ni3, relaxed, DFT PBE; values from VASP
&SYSTEM
  ibrav = 0, nat = 11, ntyp = 3
/
ATOMIC_SPECIES
Dy 162.50 Dy.upf
Cu 63.55 Cu.upf
Ni 58.69 Ni.upf
ATOMIC_POSITIONS crystal
Dy 0.3333 0.6667 0.0000
Dy 0.6667 0.3333 0.0000
Cu 0.0000 0.2009 0.0000
Cu 0.0000 0.7489 0.5000
Cu 0.2009 0.0000 0.0000
Cu 0.2511 0.2511 0.5000
Cu 0.7489 0.0000 0.5000
Cu 0.7991 0.7991 0.0000
Ni 0.0000 0.4076 0.5000
Ni 0.4076 0.0000 0.5000
Ni 0.5924 0.5924 0.5000
CELL_PARAMETERS angstrom
7.0689 0.0000 0.0000
-3.5344 6.1218 0.0000
0.0000 0.0000 3.8507
! * symmetry: P-62m (189)
! * VASP energy: -52.8 eV/cell

***

[14]
! DyCu2Ni2, relaxed, DFT PBE; values from VASP
&SYSTEM
  ibrav = 0, nat = 10, ntyp = 3
/
ATOMIC_SPECIES
Dy 162.50 Dy.upf
Cu 63.55 Cu.upf
Ni 58.69 Ni.upf
ATOMIC_POSITIONS crystal
Dy 0.1260 0.1260 0.0000
Dy 0.8740 0.8740 0.0000
Cu 0.0000 0.5000 0.5000
Cu 0.3189 0.3189 0.0000
Cu 0.5000 0.0000 0.5000
Cu 0.6811 0.6811 0.0000
Ni 0.2500 0.7500 0.5000
Ni 0.4313 0.4313 0.0000
Ni 0.5687 0.5687 0.0000
Ni 0.7500 0.2500 0.5000
CELL_PARAMETERS angstrom
-1.9225 1.9225 10.2867
1.9225 -1.9225 10.2867
1.9225 1.9225 -10.2867
! * symmetry: I4/mmm (139)
! * VASP energy: -50.6 eV/cell

***

[15]
! Dy3CuNi3, relaxed, DFT PBE; values from VASP
&SYSTEM
  ibrav = 0, nat = 14, ntyp = 3
/
ATOMIC_SPECIES
Dy 162.50 Dy.upf
Cu 63.55 Cu.upf
Ni 58.69 Ni.upf
ATOMIC_POSITIONS crystal
Dy 0.0852 0.6838 0.2500
Dy 0.3162 0.4014 0.2500
Dy 0.4014 0.0852 0.7500
Dy 0.5986 0.9148 0.2500
Dy 0.6838 0.5986 0.7500
Dy 0.9148 0.3162 0.7500
Cu 0.3333 0.6667 0.7500
Cu 0.6667 0.3333 0.2500
Ni 0.0339 0.8550 0.7500
Ni 0.1450 0.1788 0.7500
Ni 0.1788 0.0339 0.2500
Ni 0.8212 0.9661 0.7500
Ni 0.8550 0.8212 0.2500
Ni 0.9661 0.1450 0.2500
CELL_PARAMETERS angstrom
8.6139 0.0000 0.0000
-4.3070 7.4599 0.0000
0.0000 0.0000 4.2483
! * distance to the lowest polymorph of the same formula: 126 meV/atom
! * symmetry: P6_3/m (176)

***

[16]
! Dy3Cu2Ni, relaxed, DFT PBE; values from VASP
&SYSTEM
  ibrav = 0, nat = 6, ntyp = 3
/
ATOMIC_SPECIES
Dy 162.50 Dy.upf
Cu 63.55 Cu.upf
Ni 58.69 Ni.upf
ATOMIC_POSITIONS crystal
Dy 0.0000 0.0000 0.0000
Dy 0.0000 0.0000 0.3403
Dy 0.0000 0.0000 0.6597
Cu 0.5000 0.5000 0.1685
Cu 0.5000 0.5000 0.8315
Ni 0.5000 0.5000 0.5000
CELL_PARAMETERS angstrom
3.4255 0.0000 0.0000
0.0000 3.4255 0.0000
0.0000 0.0000 10.3922
! * distance to the lowest polymorph of the same formula: 0 meV/atom
! * symmetry: P4/mmm (123)

***

[17]
! DyCu2Ni4, relaxed, DFT PBE; values from VASP
&SYSTEM
  ibrav = 0, nat = 7, ntyp = 3
/
ATOMIC_SPECIES
Dy 162.50 Dy.upf
Cu 63.55 Cu.upf
Ni 58.69 Ni.upf
ATOMIC_POSITIONS crystal
Dy 0.0000 0.0000 0.0000
Cu 0.4999 0.4999 0.2496
Cu 0.5001 0.5001 0.7504
Ni 0.9998 0.3862 0.6928
Ni 0.0002 0.6138 0.3072
Ni 0.3862 0.9998 0.6928
Ni 0.6138 0.0002 0.3072
CELL_PARAMETERS angstrom
3.9305 -3.0995 0.0000
3.9305 3.0995 0.0000
-2.9503 0.0000 3.8185
! * distance to the lowest polymorph of the same formula: 0 meV/atom
! * symmetry: C2/m (12)

***

[18]
! DyCu3Ni, relaxed, DFT PBE; values from VASP
&SYSTEM
  ibrav = 0, nat = 10, ntyp = 3
/
ATOMIC_SPECIES
Dy 162.50 Dy.upf
Cu 63.55 Cu.upf
Ni 58.69 Ni.upf
ATOMIC_POSITIONS crystal
Dy 0.1041 0.8959 0.7500
Dy 0.8959 0.1041 0.2500
Cu 0.1161 0.4108 0.7500
Cu 0.3150 0.6850 0.2500
Cu 0.4108 0.1161 0.2500
Cu 0.5892 0.8839 0.7500
Cu 0.6850 0.3150 0.7500
Cu 0.8839 0.5892 0.2500
Ni 0.5000 0.5000 0.0000
Ni 0.5000 0.5000 0.5000
CELL_PARAMETERS angstrom
2.6131 -5.9419 0.0000
2.6131 5.9419 0.0000
0.0000 0.0000 4.8832
! * distance to the lowest polymorph of the same formula: 0 meV/atom
! * symmetry: Cmcm (63)

***

[19]
! DyCu6Ni6, relaxed, DFT PBE; values from VASP
&SYSTEM
  ibrav = 0, nat = 13, ntyp = 3
/
ATOMIC_SPECIES
Dy 162.50 Dy.upf
Cu 63.55 Cu.upf
Ni 58.69 Ni.upf
ATOMIC_POSITIONS crystal
Dy 0.0000 0.0000 0.0000
Cu 0.2177 0.5000 0.7177
Cu 0.3506 0.3506 0.0000
Cu 0.3538 0.0000 0.3538
Cu 0.6462 0.0000 0.6462
Cu 0.6494 0.6494 0.0000
Cu 0.7823 0.5000 0.2823
Ni 0.0000 0.0000 0.5000
Ni 0.0000 0.5000 0.0000
Ni 0.2227 0.7227 0.5000
Ni 0.5000 0.0000 0.0000
Ni 0.5000 0.5000 0.5000
Ni 0.7773 0.2773 0.5000
CELL_PARAMETERS angstrom
-2.3844 4.1485 4.1552
2.3844 -4.1485 4.1552
2.3844 4.1485 -4.1552
! * symmetry: Immm (71)
! * VASP energy: -65.5 eV/cell

***

[20]
! Dy2Cu4Ni5, relaxed, DFT PBE; values from VASP
&SYSTEM
  ibrav = 0, nat = 11, ntyp = 3
/
ATOMIC_SPECIES
Dy 162.50 Dy.upf
Cu 63.55 Cu.upf
Ni 58.69 Ni.upf
ATOMIC_POSITIONS crystal
Dy 0.1310 0.1310 0.8690
Dy 0.8690 0.8690 0.1310
Cu 0.2116 0.5314 0.4686
Cu 0.4686 0.7884 0.2116
Cu 0.5314 0.2116 0.7884
Cu 0.7884 0.4686 0.5314
Ni 0.0000 0.0000 0.5000
Ni 0.2500 0.2500 0.2500
Ni 0.5000 0.5000 0.0000
Ni 0.5000 0.5000 0.5000
Ni 0.7500 0.7500 0.7500
CELL_PARAMETERS angstrom
0.0000 4.2239 7.7105
2.5143 0.0000 7.7105
2.5143 4.2239 0.0000
! * symmetry: Fmmm (69)
! * VASP energy: -56.7 eV/cell